No. 1
! Hg2AsBr | Alexandria | PBE-GGA | relaxed; values from VASP
&SYSTEM
  ibrav = 0, nat = 4, ntyp = 3
/
ATOMIC_SPECIES
Hg 200.59 Hg.upf
As 74.92 As.upf
Br 79.90 Br.upf
CELL_PARAMETERS angstrom
5.171 0.000 0.000
2.585 4.478 0.000
2.585 1.493 4.222
ATOMIC_POSITIONS crystal
Hg 0.000 0.000 0.000
Hg 0.250 0.250 0.250
As 0.500 0.500 0.500
Br 0.750 0.750 0.750
! Energy above the lowest structure with this stoichiometry = 0.582 eV per atom
! SG = F-43m (216)

No. 2
! HgAs3Br | Alexandria | PBE-GGA | relaxed; values from VASP
&SYSTEM
  ibrav = 0, nat = 5, ntyp = 3
/
ATOMIC_SPECIES
As 74.92 As.upf
Hg 200.59 Hg.upf
Br 79.90 Br.upf
CELL_PARAMETERS angstrom
5.313 0.000 0.000
0.000 5.313 0.000
0.000 0.000 5.313
ATOMIC_POSITIONS crystal
As 0.000 0.000 0.500
As 0.000 0.500 0.000
As 0.500 0.000 0.000
Hg 0.000 0.000 0.000
Br 0.500 0.500 0.500
! Energy above the lowest structure with this stoichiometry = 0.000 eV per atom
! SG = Pm-3m (221)

No. 3
! Hg2AsBr | Alexandria | PBE-GGA | relaxed; values from VASP
&SYSTEM
  ibrav = 0, nat = 4, ntyp = 3
/
ATOMIC_SPECIES
Br 79.90 Br.upf
Hg 200.59 Hg.upf
As 74.92 As.upf
CELL_PARAMETERS angstrom
5.908 -0.069 0.002
1.321 5.759 -0.002
-2.469 -4.301 3.212
ATOMIC_POSITIONS crystal
Br 0.715 0.215 0.500
Hg 0.272 0.772 0.500
Hg 0.017 0.017 0.000
As 0.496 0.496 0.000
! Energy above the lowest structure with this stoichiometry = 0.405 eV per atom
! SG = Imm2 (44)

No. 4
! Hg2AsBr | Alexandria | PBE-GGA | relaxed; values from VASP
&SYSTEM
  ibrav = 0, nat = 4, ntyp = 3
/
ATOMIC_SPECIES
Hg 200.59 Hg.upf
As 74.92 As.upf
Br 79.90 Br.upf
CELL_PARAMETERS angstrom
-4.587 1.912 2.030
-2.722 -2.188 -4.079
-0.393 -2.838 1.785
ATOMIC_POSITIONS crystal
Hg 0.500 0.500 0.000
Hg 0.000 0.000 0.000
As 0.500 0.000 0.500
Br 0.000 0.500 0.500
! Energy above the lowest structure with this stoichiometry = 0.456 eV per atom
! SG = P4/mmm (123)

No. 5
! Hg2AsBr8 | Alexandria | PBE-GGA | relaxed; values from VASP
&SYSTEM
  ibrav = 0, nat = 11, ntyp = 3
/
ATOMIC_SPECIES
Br 79.90 Br.upf
Hg 200.59 Hg.upf
As 74.92 As.upf
CELL_PARAMETERS angstrom
6.757 -0.135 -0.094
1.033 8.519 1.012
1.033 3.882 7.650
ATOMIC_POSITIONS crystal
Br 0.144 0.156 0.156
Br 0.400 0.669 0.669
Br 0.249 0.168 0.708
Br 0.600 0.331 0.331
Br 0.751 0.832 0.292
Br 0.751 0.292 0.832
Br 0.249 0.708 0.168
Br 0.856 0.844 0.844
Hg 0.464 0.832 0.832
Hg 0.536 0.168 0.168
As 0.000 0.000 0.000
! Uncorrected energy = -21.910 eV per cell
! SG = C2/m (12)

No. 6
! Hg2AsBr | Alexandria | PBE-GGA | relaxed; values from VASP
&SYSTEM
  ibrav = 0, nat = 4, ntyp = 3
/
ATOMIC_SPECIES
Hg 200.59 Hg.upf
As 74.92 As.upf
Br 79.90 Br.upf
CELL_PARAMETERS angstrom
3.658 0.004 0.000
-1.791 3.189 0.000
0.000 0.000 9.065
ATOMIC_POSITIONS crystal
Hg 0.000 0.000 0.003
Hg 0.500 0.500 0.268
As 0.000 0.000 0.499
Br 0.500 0.500 0.730
! Energy above the lowest structure with this stoichiometry = 0.421 eV per atom
! SG = Cmm2 (35)